(1)
# Rb2CdBr3F

A relaxed structure of Rb2CdBr3F (GGA-PBE, the Alexandria database).

Lattice parameters (Å, degrees): 4.5652 5.5882 9.6042 106.91 103.75 90.00
Positions (direct):
Br: 0.8422 0.8422 0.6843
F: 0.5000 0.0000 0.0000
Cd: 0.0000 0.0000 0.0000
Rb: 0.6447 0.6447 0.2893
Br: 0.1578 0.1578 0.3157
Rb: 0.3553 0.3553 0.7107
Br: 0.0000 0.5000 0.0000

Properties
Total DFT energy (no corrections) (eV/atom): -3.040

(2)
# CdSe2BrF

A relaxed structure of CdSe2BrF (GGA-PBE, the Alexandria database).

Lattice parameters (Å, degrees): 4.3542 4.3542 6.3301 90.00 90.00 90.00
Positions (direct):
Se: 0.0000 0.5000 0.0000
Br: 0.0000 0.0000 0.5000
F: 0.0000 0.0000 0.0000
Se: 0.5000 0.0000 0.0000
Cd: 0.5000 0.5000 0.5000

Properties
Total DFT energy (no corrections) (eV/atom): -2.246

(3)
# CdSeBr2F

A relaxed structure of CdSeBr2F (GGA-PBE, the Alexandria database).

Lattice parameters (Å, degrees): 5.3860 5.3860 5.6598 90.00 90.00 90.00
Last column: magnetic moment on the atom in μB.
Positions (direct):
Br: 0.0000 0.5000 0.0000  0.25
Cd: 0.0000 0.0000 0.0000  0.00
F: 0.5000 0.5000 0.5000  0.49
Br: 0.5000 0.0000 0.0000  0.25
Se: 0.0000 0.0000 0.5000  1.11

Properties
Total DFT energy (no corrections) (eV/atom): -1.844

(4)
# CdSeBr2F

A relaxed structure of CdSeBr2F (GGA-PBE, the Alexandria database).

Lattice parameters (Å, degrees): 5.7141 5.7141 3.9252 90.00 90.00 90.00
Last column: magnetic moment on the atom in μB.
Positions (direct):
Cd: 0.5000 0.5000 0.5000  0.00
Br: 0.0000 0.5000 0.0000  0.13
Br: 0.5000 0.0000 0.0000  0.13
F: 0.0000 0.0000 0.0000  0.05
Se: 0.0000 0.0000 0.5000  0.65

Properties
Total DFT energy (no corrections) (eV/atom): -1.964

(5)
# CdSe2BrF

A relaxed structure of CdSe2BrF (GGA-PBE, the Alexandria database).

Lattice parameters (Å, degrees): 5.4911 5.4911 5.3382 90.00 90.00 90.00
Last column: magnetic moment on the atom in μB.
Positions (direct):
Se: 0.5000 0.0000 0.0000  0.99
Se: 0.0000 0.5000 0.0000  0.99
Br: 0.0000 0.0000 0.5000  0.23
Cd: 0.0000 0.0000 0.0000  0.01
F: 0.5000 0.5000 0.5000  0.44

Properties
Total DFT energy (no corrections) (eV/atom): -1.977

(6)
# Tl2CdBr3F

A relaxed structure of Tl2CdBr3F (GGA-PBE, the Alexandria database).

Lattice parameters (Å, degrees): 4.4449 5.5592 9.4544 107.10 103.60 90.00
Positions (direct):
Br: 0.1612 0.1612 0.3224
Br: 0.0000 0.5000 0.0000
Tl: 0.6473 0.6473 0.2945
Br: 0.8388 0.8388 0.6776
Cd: 0.0000 0.0000 0.0000
F: 0.5000 0.0000 0.0000
Tl: 0.3527 0.3527 0.7055

Properties
Total DFT energy (no corrections) (eV/atom): -2.910

(7)
# Tl2CdBr2F2

A relaxed structure of Tl2CdBr2F2 (GGA-PBE, the Alexandria database).

Lattice parameters (Å, degrees): 4.6776 4.6776 8.9881 105.08 105.08 90.00
Positions (direct):
Tl: 0.3772 0.3772 0.7544
Br: 0.8367 0.8367 0.6735
Tl: 0.6228 0.6228 0.2456
Cd: 0.0000 0.0000 0.0000
Br: 0.1633 0.1633 0.3265
F: 0.0000 0.5000 0.0000
F: 0.5000 0.0000 0.0000

Properties
Total DFT energy (no corrections) (eV/atom): -3.243